Record 1
Y2ScTi PBE-GGA relaxed; VASP energy = -6.590 eV/atom; formation energy from the elements = 0.80 eV/f.u.; energy relative to the lowest polymorph listed for this composition = 0.018 eV per atom; symmetry = P4/mmm (123)
1.0
-3.4796 -0.7390 -2.8358
-2.4708 -2.0036 3.5538
-1.8262 4.2584 1.1311
Y Ti Sc
2 1 1
Direct
0.0000 0.0000 0.5000
0.0000 0.5000 0.0000
0.5000 0.0000 0.0000
0.5000 0.5000 0.5000



Record 2
YSc2Ti2 PBE-GGA relaxed; VASP energy = -6.804 eV/atom; formation energy from the elements = 0.90 eV/f.u.; energy relative to the lowest polymorph listed for this composition = 0.053 eV per atom; symmetry = P4/mbm (127)
1.0
8.3627 0.0000 0.0000
0.0000 8.3627 0.0000
0.0000 0.0000 3.2743
Ti Sc Y
4 4 2
Direct
0.8296 0.3296 0.5000
0.3296 0.1704 0.5000
0.1704 0.6704 0.5000
0.6704 0.8296 0.5000
0.8745 0.6255 0.0000
0.1255 0.3745 0.0000
0.6255 0.1255 0.0000
0.3745 0.8745 0.0000
0.5000 0.5000 0.0000
0.0000 0.0000 0.0000



Record 3
Y2ScTi PBE-GGA relaxed; VASP energy = -6.562 eV/atom; formation energy from the elements = 0.91 eV/f.u.; energy relative to the lowest polymorph listed for this composition = 0.045 eV per atom; symmetry = Fm-3m (225)
1.0
-1.6799 -3.7975 -3.3103
-4.5664 0.6096 -2.6416
0.0571 0.8332 -5.2444
Y Ti Sc
2 1 1
Direct
0.2500 0.2500 0.2500
0.7500 0.7500 0.7500
0.5000 0.5000 0.5000
0.0000 0.0000 0.0000



Record 4
Y2ScTi PBE-GGA relaxed; VASP energy = -6.608 eV/atom; formation energy from the elements = 0.72 eV/f.u.; energy relative to the lowest polymorph listed for this composition = 0.000 eV per atom; symmetry = P4/mmm (123)
1.0
-2.6804 -0.7496 -1.8968
1.5934 -2.7250 -1.1748
-3.4755 -5.0019 6.8881
Y Ti Sc
2 1 1
Direct
0.0000 0.0000 0.2303
0.0000 0.0000 0.7697
0.5000 0.5000 0.0000
0.5000 0.5000 0.5000



Record 5
Y2Sc2Ti PBE-GGA relaxed; VASP energy = -6.044 eV/atom; formation energy from the elements = 3.27 eV/f.u.; energy relative to the lowest polymorph listed for this composition = 0.282 eV per atom; symmetry = I4/mmm (139)
1.0
-2.7599 -2.8755 1.3602
2.6533 -1.0878 3.0842
-3.3143 3.3680 6.9144
Ti Sc Y
1 2 2
Direct
0.0000 0.0000 0.0000
0.5877 0.5877 0.8246
0.4123 0.4123 0.1754
0.7500 0.2500 0.5000
0.2500 0.7500 0.5000



Record 6
Y2Sc2Ti PBE-GGA relaxed; VASP energy = -6.326 eV/atom; formation energy from the elements = 1.86 eV/f.u.; energy relative to the lowest polymorph listed for this composition = 0.000 eV per atom; symmetry = P4/mbm (127)
1.0
-6.1846 3.9874 -4.5017
-6.0110 -3.9062 4.7982
0.0734 2.6902 2.2820
Sc Y Ti
4 4 2
Direct
0.3738 0.8738 0.0000
0.1262 0.3738 0.0000
0.8738 0.6262 0.0000
0.6262 0.1262 0.0000
0.8255 0.3255 0.5000
0.3255 0.1745 0.5000
0.6745 0.8255 0.5000
0.1745 0.6745 0.5000
0.0000 0.0000 0.0000
0.5000 0.5000 0.0000



Record 7
YScTi PBE-GGA relaxed; VASP energy = -6.722 eV/atom; formation energy from the elements = 0.53 eV/f.u.; energy relative to the lowest polymorph listed for this composition = 0.000 eV per atom; symmetry = I4/mmm (139)
1.0
-0.5659 -2.0665 -2.6330
3.0294 0.8195 -1.2943
4.3647 -9.4623 8.6767
Ti Sc Y
2 2 2
Direct
0.2714 0.2714 0.5427
0.7286 0.7286 0.4573
0.1587 0.1587 0.3174
0.8413 0.8413 0.6826
0.5644 0.5644 0.1288
0.4356 0.4356 0.8712



Record 8
Y3ScTi PBE-GGA relaxed; VASP energy = -6.149 eV/atom; formation energy from the elements = 2.87 eV/f.u.; energy relative to the lowest polymorph listed for this composition = 0.000 eV per atom; symmetry = Pm-3m (221)
1.0
-2.1313 1.7119 4.6291
-4.1684 -3.3242 -0.6899
2.6426 -3.8628 2.6452
Y Ti Sc
3 1 1
Direct
0.0000 0.5000 0.0000
0.0000 0.0000 0.5000
0.5000 0.0000 0.0000
0.0000 0.0000 0.0000
0.5000 0.5000 0.5000



Respective density of states at the Fermi level values: 1.591; 1.503; 1.987; 1.707; 1.070; 1.238; 2.089; 1.488 states/eV per atom.